Record 1
First-principles (PBE) data for a geometry-optimized Sc6AsC2S3 structure, as listed in Alexandria.

Calculated values
energy: -0.5533 Ry/atom
Fermi-level density of states: 0.2062 states/eV/atom
magnetization: 0.00 μB per formula unit
uncorrected formation energy: -1406 meV/atom

a b c (Å): 3.563 7.337 8.098
angles (deg): 103.48 102.71 90.00
Fractional coordinates of all 12 atoms:
Sc: 0.980 0.734 0.961
Sc: 0.673 0.125 0.346
Sc: 0.327 0.875 0.654
Sc: 0.678 0.563 0.357
Sc: 0.322 0.437 0.643
Sc: 0.020 0.266 0.039
S: 0.163 0.832 0.326
S: 0.837 0.168 0.674
S: 0.500 0.500 0.000
C: 0.830 0.660 0.659
C: 0.170 0.340 0.341
As: 0.500 0.000 0.000

=====

Record 2
First-principles (PBE) data for a geometry-optimized AsCSe2S structure, as listed in Alexandria.

Calculated values
relative energy among the computed polymorphs: 3.416 eV/f.u.
energy: -0.2228 Ry/atom
Fermi-level density of states: 1.0608 states/eV/atom
magnetization: 0.09 μB per formula unit
uncorrected formation energy: 1963 meV/atom

a b c (Å): 4.784 4.784 4.870
angles (deg): 90.00 90.00 90.00
Site moments in Bohr magnetons follow the coordinates.
Fractional coordinates of all 5 atoms:
C: 0.500 0.500 0.500  0.53
Se: 0.000 0.500 0.000  -0.10
Se: 0.500 0.000 0.000  -0.10
S: 0.000 0.000 0.000  -0.02
As: 0.000 0.000 0.500  -0.31